LiIrOF2 | PBE | optimized geometry

The structure in extended XYZ format:
```
5
Lattice="3.424 0.000 0.000 0.000 3.424 0.000 0.000 0.000 4.186" Properties=species:S:1:pos:R:3 pbc="T T T"
Ir 1.712 1.712 2.093
Li 0.000 0.000 0.000
O 0.000 0.000 2.093
F 0.000 1.712 0.000
F 1.712 0.000 0.000
```

Computed properties:
Crystal system: tetragonal
Total moment: 2.8 μB per cell
Fermi-level density of states: 3.22 states/eV per cell
Formation energy without anion corrections: -2.9 eV/f.u.

Li2IrPdF8 | PBE | optimized geometry

The structure in extended XYZ format:
```
12
Lattice="4.684 -0.088 -0.003 -0.068 4.677 -0.004 0.003 0.007 6.760" Properties=species:S:1:pos:R:3 pbc="T T T"
Li 2.311 2.300 5.036
Li 2.309 2.296 1.717
Ir 0.000 0.000 0.000
Pd 0.002 0.004 3.380
F 0.841 3.761 1.503
F 3.221 3.213 6.755
F 3.777 0.830 1.505
F 3.778 0.835 5.250
F 1.398 1.383 -0.002
F 0.843 3.766 5.248
F 3.211 3.199 3.375
F 1.409 1.398 3.378
```

Computed properties:
Crystal system: orthorhombic
Total moment: 1.0 μB per cell
Fermi-level density of states: 9.24 states/eV per cell
Formation energy without anion corrections: -22.5 eV/f.u.

Rb2LiIrF6 | PBE | optimized geometry

The structure in extended XYZ format:
```
10
Lattice="5.942 0.000 0.000 2.971 5.145 0.000 2.971 1.715 4.851" Properties=species:S:1:pos:R:3 pbc="T T T"
Rb 2.971 1.715 1.213
Rb 8.912 5.145 3.638
Li 5.942 3.430 2.426
Ir 0.000 0.000 0.000
F 4.421 2.552 3.667
F 5.942 5.186 3.667
F 7.462 4.308 1.184
F 4.421 4.308 1.184
F 7.462 2.552 3.667
F 5.942 1.674 1.184
```

Computed properties:
Crystal system: cubic
Total moment: 0.1 μB per cell
Fermi-level density of states: 0.00 states/eV per cell
Formation energy without anion corrections: -23.0 eV/f.u.

Rb2Li3IrF12 | PBE | optimized geometry

The structure in extended XYZ format:
```
18
Lattice="7.772 0.430 0.305 4.212 6.546 0.305 4.212 2.452 6.077" Properties=species:S:1:pos:R:3 pbc="T T T"
Rb 9.622 5.601 3.972
Rb 6.575 3.827 2.715
Li 3.886 0.215 0.153
Li 2.106 3.273 0.153
Li 2.106 1.226 3.038
Ir 0.000 0.000 0.000
F 7.774 4.525 5.830
F 12.387 7.210 2.459
F 10.208 8.448 5.992
F 9.924 3.304 2.344
F 12.387 4.705 5.992
F 7.774 6.998 2.344
F 8.422 4.902 0.857
F 3.810 2.217 4.228
F 5.988 0.980 0.695
F 6.272 6.124 4.343
F 3.810 4.723 0.695
F 8.422 2.430 4.343
```

Computed properties:
Crystal system: trigonal
Total moment: 4.0 μB per cell
Fermi-level density of states: 13.08 states/eV per cell
Formation energy without anion corrections: -37.2 eV/f.u.

RbLiIrF6 | PBE | optimized geometry

The structure in extended XYZ format:
```
18
Lattice="7.250 0.000 0.000 0.000 7.491 0.000 -3.625 -3.745 5.322" Properties=species:S:1:pos:R:3 pbc="T T T"
Rb 3.625 1.873 4.530
Rb 0.000 1.873 0.792
Li 1.812 -1.873 2.661
Li -1.812 -1.873 2.661
Ir 3.625 3.745 0.000
Ir 3.625 0.000 0.000
F 0.000 1.873 4.545
F 3.625 -1.873 3.366
F 5.043 -0.296 1.295
F 2.207 4.041 1.295
F 2.207 -0.296 1.295
F 5.043 4.041 1.295
F 3.625 1.873 0.778
F 0.000 5.618 1.956
F -1.418 4.041 4.027
F 1.418 -0.296 4.027
F 1.418 4.041 4.027
F -1.418 -0.296 4.027
```

Computed properties:
Crystal system: orthorhombic
Total moment: 2.0 μB per cell
Fermi-level density of states: 2.68 states/eV per cell
Formation energy without anion corrections: -18.7 eV/f.u.

RbLi2IrF8 | PBE | optimized geometry

The structure in extended XYZ format:
```
12
Lattice="-3.138 1.867 3.484 -4.264 -2.602 -0.473 2.000 -5.249 5.358" Properties=species:S:1:pos:R:3 pbc="T T T"
Rb 1.000 -2.624 2.679
Li -2.348 -3.905 5.115
Li -3.054 -2.078 3.253
Ir 0.000 0.000 0.000
F -3.585 -2.517 1.348
F -5.650 -0.596 2.346
F -2.971 -0.071 3.517
F -1.817 -3.466 7.020
F 0.249 -5.387 6.022
F -2.430 -5.912 4.852
F -3.913 -3.032 4.597
F -1.488 -2.951 3.772
```

Computed properties:
Crystal system: triclinic
Total moment: 2.0 μB per cell
Fermi-level density of states: 7.44 states/eV per cell
Formation energy without anion corrections: -25.9 eV/f.u.

LiIrRhF2 | PBE | optimized geometry

The structure in extended XYZ format:
```
5
Lattice="3.943 0.000 0.000 0.000 5.758 0.000 0.000 0.000 3.943" Properties=species:S:1:pos:R:3 pbc="T T T"
Ir 1.972 2.879 1.972
Rh 0.000 0.000 0.000
Li 0.000 2.879 0.000
F 0.000 0.000 1.972
F 1.972 0.000 0.000
```

Computed properties:
Crystal system: tetragonal
Total moment: 3.0 μB per cell
Fermi-level density of states: 8.47 states/eV per cell
Formation energy without anion corrections: 1.2 eV/f.u.

LiSc2IrF | PBE | optimized geometry

The structure in extended XYZ format:
```
5
Lattice="-4.348 -0.212 2.426 -1.919 -2.318 -3.641 1.354 -4.337 2.047" Properties=species:S:1:pos:R:3 pbc="T T T"
Sc 0.677 -2.169 1.024
Sc -2.174 -0.106 1.213
Ir 0.000 0.000 0.000
Li -0.959 -1.159 -1.821
F -2.456 -3.433 0.416
```

Computed properties:
Crystal system: tetragonal
Total moment: 0.0 μB per cell
Fermi-level density of states: 2.79 states/eV per cell
Formation energy without anion corrections: -2.4 eV/f.u.

LiScIr2F | PBE | optimized geometry

The structure in extended XYZ format:
```
5
Lattice="-3.424 1.336 2.869 0.726 -6.518 3.901 3.134 2.024 2.798" Properties=species:S:1:pos:R:3 pbc="T T T"
Sc 0.000 0.000 0.000
Ir 1.567 1.012 1.399
Ir -1.712 0.668 1.435
Li 0.363 -3.259 1.951
F 0.218 -1.579 4.784
```

Computed properties:
Crystal system: tetragonal
Total moment: 1.3 μB per cell
Fermi-level density of states: 5.64 states/eV per cell
Formation energy without anion corrections: 4.5 eV/f.u.

SrLiIrF6 | PBE | optimized geometry

The structure in extended XYZ format:
```
9
Lattice="5.283 0.000 0.000 0.000 5.367 0.000 0.000 -2.684 4.648" Properties=species:S:1:pos:R:3 pbc="T T T"
Sr 0.000 0.000 3.099
Li 2.641 2.684 1.549
Ir 2.641 0.000 0.000
F 3.762 1.916 3.129
F 3.762 1.700 0.095
F 3.762 4.435 1.424
F 1.521 0.932 1.424
F 1.521 3.668 0.095
F 1.521 3.451 3.129
```

Computed properties:
Crystal system: trigonal
Total moment: 0.2 μB per cell
Fermi-level density of states: 0.00 states/eV per cell
Formation energy without anion corrections: -23.2 eV/f.u.

LiTcIrF2 | PBE | optimized geometry

The structure in extended XYZ format:
```
5
Lattice="-1.048 -3.370 0.613 2.381 0.070 4.458 -2.981 1.213 1.573" Properties=species:S:1:pos:R:3 pbc="T T T"
Ir 1.190 0.035 2.229
Li 0.000 0.000 0.000
Tc -0.824 -1.044 3.322
F -1.490 0.607 0.786
F -0.524 -1.685 0.306
```

Computed properties:
Crystal system: tetragonal
Total moment: 1.5 μB per cell
Fermi-level density of states: 3.99 states/eV per cell
Formation energy without anion corrections: -1.9 eV/f.u.

LiTlIrF6 | PBE | optimized geometry

The structure in extended XYZ format:
```
18
Lattice="5.402 0.000 0.000 -2.701 4.678 0.000 0.000 0.000 12.118" Properties=species:S:1:pos:R:3 pbc="T T T"
Li 0.000 3.119 3.030
Li 2.701 1.559 9.089
Tl 0.000 0.000 0.000
Tl 0.000 0.000 6.059
Ir 2.701 1.559 3.030
Ir 0.000 3.119 9.089
F 1.782 2.925 1.938
F 4.343 1.672 1.938
F -0.724 4.597 7.997
F -1.642 3.006 10.180
F 1.058 1.672 4.121
F 3.619 2.925 4.121
F 0.724 4.597 10.180
F 3.425 0.081 4.121
F -0.919 1.753 7.997
F 1.977 0.081 1.938
F 1.642 3.006 7.997
F 0.919 1.753 10.180
```

Computed properties:
Crystal system: trigonal
Total moment: 2.0 μB per cell
Fermi-level density of states: 18.68 states/eV per cell
Formation energy without anion corrections: -17.5 eV/f.u.

Copy entry 2 word for word.
Li2IrPdF8 | PBE | optimized geometry

The structure in extended XYZ format:
```
12
Lattice="4.684 -0.088 -0.003 -0.068 4.677 -0.004 0.003 0.007 6.760" Properties=species:S:1:pos:R:3 pbc="T T T"
Li 2.311 2.300 5.036
Li 2.309 2.296 1.717
Ir 0.000 0.000 0.000
Pd 0.002 0.004 3.380
F 0.841 3.761 1.503
F 3.221 3.213 6.755
F 3.777 0.830 1.505
F 3.778 0.835 5.250
F 1.398 1.383 -0.002
F 0.843 3.766 5.248
F 3.211 3.199 3.375
F 1.409 1.398 3.378
```

Computed properties:
Crystal system: orthorhombic
Total moment: 1.0 μB per cell
Fermi-level density of states: 9.24 states/eV per cell
Formation energy without anion corrections: -22.5 eV/f.u.